(1)
This record from Alexandria via LeMat-Bulk describes a geometry-optimized TlAgB2 structure. The functional is GGA-PBE.

Calculated values
* space-group type: Fm-3m, No. 225
* excess energy over the best structure of this formula in the dataset: 0.570 eV per atom
* DFT formation energy: 1678 meV/atom
* uncorrected energy: -11.86 eV/cell

Cell and atoms, written as POSCAR:
```
TlAgB2
1.0
0.000 3.134 3.134
3.134 0.000 3.134
3.134 3.134 0.000
Tl B Ag
1 2 1
Cartesian
3.134 3.134 3.134 Tl
1.567 1.567 1.567 B
4.701 4.701 4.701 B
0.000 0.000 0.000 Ag
```


(2)
This record from Alexandria via LeMat-Bulk describes a geometry-optimized HoH3Pd3 structure. The functional is GGA-PBE.

Calculated values
* space-group type: Pm-3n, No. 223
* excess energy over the best structure of this formula in the dataset: 0.000 eV per atom
* uncorrected energy: -67.73 eV/cell

Cell and atoms, written as POSCAR:
```
HoH3Pd3
1.0
5.449 0.000 0.000
0.000 5.449 0.000
0.000 0.000 5.449
Pd Ho H
6 2 6
Cartesian
4.087 2.725 0.000 Pd
0.000 4.087 2.725 Pd
2.725 0.000 4.087 Pd
0.000 1.362 2.725 Pd
2.725 0.000 1.362 Pd
1.362 2.725 0.000 Pd
0.000 0.000 0.000 Ho
2.725 2.725 2.725 Ho
0.000 2.725 4.087 H
2.725 1.362 0.000 H
0.000 2.725 1.362 H
2.725 4.087 0.000 H
4.087 0.000 2.725 H
1.362 0.000 2.725 H
```


(3)
This record from Alexandria via LeMat-Bulk describes a geometry-optimized Na2LiBiCl6 structure. The functional is GGA-PBE.

Calculated values
* space-group type: Fm-3m, No. 225
* excess energy over the best structure of this formula in the dataset: 0.136 eV per atom
* raw formation energy: -1.3396 eV per atom
* uncorrected energy: -32.91 eV/cell

Cell and atoms, written as POSCAR:
```
Na2LiBiCl6
1.0
7.352 -0.464 0.452
3.896 5.660 2.694
3.263 -0.573 6.595
Cl Na Bi Li
6 2 1 1
Cartesian
7.302 0.968 2.732 Cl
5.323 0.915 5.705 Cl
5.629 3.932 3.817 Cl
7.209 3.655 7.009 Cl
8.881 0.691 5.924 Cl
9.188 3.708 4.036 Cl
10.883 3.467 7.306 Na
3.628 1.156 2.435 Na
0.000 0.000 0.000 Bi
7.255 2.312 4.870 Li
```


(4)
This record from Alexandria via LeMat-Bulk describes a geometry-optimized La3Sm5As8 structure. The functional is GGA-PBE.

Calculated values
* space-group type: R-3m, No. 166
* DFT formation energy: -1540 meV/atom
* uncorrected energy: -100.22 eV/cell

Cell and atoms, written as POSCAR:
```
La3Sm5As8
1.0
7.420 0.000 4.250
2.493 6.989 4.250
0.028 0.020 8.553
Sm As La
5 8 3
Cartesian
0.000 0.000 0.000 Sm
1.246 3.494 2.125 Sm
4.956 3.494 4.250 Sm
4.970 3.504 8.527 Sm
3.710 0.000 2.125 Sm
3.733 5.222 10.686 As
6.207 1.787 6.367 As
7.441 5.246 8.471 As
2.499 1.762 8.582 As
6.172 1.762 10.686 As
3.768 5.246 6.367 As
7.430 5.238 12.834 As
2.511 1.770 4.219 As
0.014 0.010 4.277 La
3.724 0.010 6.402 La
1.260 3.504 6.402 La
```